(1)
# PrSbN2O (GGA-PBE, optimized geometry)
# - crystal system = orthorhombic
# - size of the total moment (μB per formula unit) = 0.0
# - total energy (eV/atom) = -6.992
data_PrSbN2O
_cell_length_a 7.993
_cell_length_b 5.746
_cell_length_c 5.805
_cell_angle_alpha 90.00
_cell_angle_beta 90.00
_cell_angle_gamma 90.00
_space_group_name_H-M_alt 'P m c 21'
_space_group_IT_number 26
loop_
_space_group_symop_operation_xyz
'x,y,z'
'-x,-y,z+1/2'
'-x,y,z'
'x,-y,z+1/2'
loop_
_atom_site_label
_atom_site_fract_x
_atom_site_fract_y
_atom_site_fract_z
Pr1 0.000 0.239 0.000
Pr2 0.500 0.252 0.910
Sb1 0.246 0.238 0.457
N1 0.000 0.350 0.425
N2 0.208 0.050 0.753
N3 0.500 0.175 0.480
O1 0.297 0.462 0.167

(2)
# PrSbN2O (GGA-PBE, optimized geometry)
# - crystal system = tetragonal
# - size of the total moment (μB per formula unit) = 0.0
# - total energy (eV/atom) = -6.844
data_PrSbN2O
_cell_length_a 4.059
_cell_length_b 4.059
_cell_length_c 4.016
_cell_angle_alpha 90.00
_cell_angle_beta 90.00
_cell_angle_gamma 90.00
_space_group_name_H-M_alt 'P 4/m m m'
_space_group_IT_number 123
_space_group_name_Hall '-P 4 2'
loop_
_atom_site_label
_atom_site_fract_x
_atom_site_fract_y
_atom_site_fract_z
Pr1 0.000 0.000 0.000
Sb1 0.500 0.500 0.500
N1 0.000 0.500 0.500
O1 0.500 0.500 0.000

(3)
# PrSbN2O (GGA-PBE, optimized geometry)
# - crystal system = monoclinic
# - size of the total moment (μB per formula unit) = 0.0
# - total energy (eV/atom) = -6.846
data_PrSbN2O
_cell_length_a 4.060
_cell_length_b 4.013
_cell_length_c 4.063
_cell_angle_alpha 90.00
_cell_angle_beta 90.16
_cell_angle_gamma 90.00
_space_group_name_H-M_alt 'P 1 m 1'
_space_group_IT_number 6
loop_
_space_group_symop_operation_xyz
'x,y,z'
'x,-y,z'
loop_
_atom_site_label
_atom_site_fract_x
_atom_site_fract_y
_atom_site_fract_z
Pr1 0.000 0.000 0.000
Sb1 0.513 0.500 0.484
N1 0.017 0.500 0.467
N2 0.529 0.500 0.980
O1 0.534 0.000 0.460

(4)
# PrSbN2O (GGA-PBE, optimized geometry)
# - crystal system = hexagonal
# - size of the total moment (μB per formula unit) = 0.0
# - total energy (eV/atom) = -6.778
data_PrSbN2O
_cell_length_a 5.7352
_cell_length_b 5.7352
_cell_length_c 14.4270
_cell_angle_alpha 90.00
_cell_angle_beta 90.00
_cell_angle_gamma 120.00
_space_group_name_H-M_alt 'P 63/m m c'
_space_group_IT_number 194
_space_group_name_Hall '-P 6c 2c'
loop_
_atom_site_label
_atom_site_fract_x
_atom_site_fract_y
_atom_site_fract_z
Pr1 0.0000 0.0000 0.2500
Pr2 0.3333 0.6667 0.0740
Sb1 0.0000 0.0000 0.0000
Sb2 0.3333 0.6667 0.6516
N1 0.1626 0.3253 0.5841
O1 0.0208 0.5104 0.7500

(5)
# PrSbN2O (GGA-PBE, optimized geometry)
# - crystal system = monoclinic
# - size of the total moment (μB per formula unit) = 0.0
# - total energy (eV/atom) = -6.997
data_PrSbN2O
_cell_length_a 8.165
_cell_length_b 8.021
_cell_length_c 11.530
_cell_angle_alpha 90.00
_cell_angle_beta 134.77
_cell_angle_gamma 90.00
_space_group_name_H-M_alt 'P 1 21/c 1'
_space_group_IT_number 14
loop_
_space_group_symop_operation_xyz
'x,y,z'
'-x,-y,-z'
'-x,y+1/2,-z+1/2'
'x,-y+1/2,z+1/2'
loop_
_atom_site_label
_atom_site_fract_x
_atom_site_fract_y
_atom_site_fract_z
Pr1 0.039 0.249 0.017
Pr2 0.459 0.747 0.975
Sb1 0.016 0.003 0.756
Sb2 0.497 0.501 0.256
N1 0.030 0.747 0.310
N2 0.202 0.548 0.202
N3 0.281 0.055 0.000
N4 0.471 0.248 0.282
O1 0.221 0.548 0.720
O2 0.296 0.040 0.499

(6)
# PrSbNO (GGA-PBE, optimized geometry)
# - crystal system = orthorhombic
# - size of the total moment (μB per formula unit) = 0.0
# - total energy (eV/atom) = -6.881
data_PrSbNO
_cell_length_a 5.716
_cell_length_b 8.469
_cell_length_c 6.071
_cell_angle_alpha 90.00
_cell_angle_beta 90.00
_cell_angle_gamma 90.00
_space_group_name_H-M_alt 'P c a 21'
_space_group_IT_number 29
loop_
_space_group_symop_operation_xyz
'x,y,z'
'-x,-y,z+1/2'
'-x+1/2,y,z+1/2'
'x+1/2,-y,z'
loop_
_atom_site_label
_atom_site_fract_x
_atom_site_fract_y
_atom_site_fract_z
Pr1 0.008 0.134 0.000
Sb1 0.017 0.377 0.495
N1 0.157 0.597 0.493
O1 0.250 0.989 0.250